# 1
A plane-wave DFT calculation with GGA-PBE was carried out for a geometry-optimized SrCaTbNbO6 structure.

* symmetry: F-43m, No. 216
* volume: 14.98 A^3/atom
* VASP energy: -0.567 Ry per atom
* ρ: 5.3 g/cm3
* formation energy from raw total energies: -2.908 eV/atom
* magnetization: 0.000 Bohr magnetons per cell

Cell lengths 5.9620, 5.9620, 5.9620 Å; angles 60.00, 60.00, 60.00 degrees
Atoms (fractional coordinates):
Sr1 0.2500 0.2500 0.2500
Ca1 0.7500 0.7500 0.7500
Tb1 0.5000 0.5000 0.5000
Nb1 0.0000 0.0000 0.0000
O1 0.2374 0.7626 0.2374
O2 0.7626 0.2374 0.7626
O3 0.2374 0.7626 0.7626
O4 0.7626 0.2374 0.2374
O5 0.2374 0.2374 0.7626
O6 0.7626 0.7626 0.2374

---

# 2
A plane-wave DFT calculation with GGA-PBE was carried out for a geometry-optimized SrCaYNbO6 structure.

* symmetry: F-43m, No. 216
* volume: 14.87 A^3/atom
* VASP energy: -0.581 Ry per atom
* ρ: 4.5 g/cm3
* formation energy from raw total energies: -2.913 eV/atom
* magnetization: 0.000 Bohr magnetons per cell

Cell lengths 5.9468, 5.9468, 5.9468 Å; angles 60.00, 60.00, 60.00 degrees
Atoms (fractional coordinates):
Sr1 0.2500 0.2500 0.2500
Ca1 0.7500 0.7500 0.7500
Y1 0.5000 0.5000 0.5000
Nb1 0.0000 0.0000 0.0000
O1 0.2380 0.7620 0.2380
O2 0.7620 0.2380 0.7620
O3 0.2380 0.7620 0.7620
O4 0.7620 0.2380 0.2380
O5 0.2380 0.2380 0.7620
O6 0.7620 0.7620 0.2380

---

# 3
A plane-wave DFT calculation with GGA-PBE was carried out for a geometry-optimized SrCaZrNbO6 structure.

* symmetry: F-43m, No. 216
* volume: 14.03 A^3/atom
* VASP energy: -0.595 Ry per atom
* ρ: 4.8 g/cm3
* formation energy from raw total energies: -2.896 eV/atom
* magnetization: 0.000 Bohr magnetons per cell

Cell lengths 5.8328, 5.8328, 5.8328 Å; angles 60.00, 60.00, 60.00 degrees
Atoms (fractional coordinates):
Sr1 0.2500 0.2500 0.2500
Ca1 0.7500 0.7500 0.7500
Zr1 0.5000 0.5000 0.5000
Nb1 0.0000 0.0000 0.0000
O1 0.2459 0.7541 0.2459
O2 0.7541 0.2459 0.7541
O3 0.2459 0.7541 0.7541
O4 0.7541 0.2459 0.2459
O5 0.2459 0.2459 0.7541
O6 0.7541 0.7541 0.2459

---

# 4
A plane-wave DFT calculation with GGA-PBE was carried out for a geometry-optimized Ca2TaNbO6 structure.

* symmetry: P4mm, No. 99
* volume: 13.39 A^3/atom
* VASP energy: -0.610 Ry per atom
* ρ: 5.6 g/cm3
* formation energy from raw total energies: -2.727 eV/atom
* magnetization: 0.035 Bohr magnetons per cell

Cell lengths 4.0638, 5.7393, 5.7393 Å; angles 90.00, 90.00, 90.00 degrees
Atoms (fractional coordinates):
Ca1 0.0503 0.5000 0.0000
Ca2 0.0503 0.0000 0.5000
Ta1 0.6548 0.0000 0.0000
Nb1 0.6598 0.5000 0.5000
O1 0.6767 0.2463 0.2463
O2 0.6767 0.2463 0.7537
O3 0.1625 0.5000 0.5000
O4 0.1621 0.0000 0.0000
O5 0.6767 0.7537 0.7537
O6 0.6767 0.7537 0.2463

---

# 5
A plane-wave DFT calculation with GGA-PBE was carried out for a geometry-optimized Ca2TaNb2O8 structure.

* symmetry: P-1, No. 2
* volume: 12.89 A^3/atom
* VASP energy: -0.620 Ry per atom
* ρ: 5.7 g/cm3
* formation energy from raw total energies: -2.620 eV/atom
* magnetization: 0.000 Bohr magnetons per cell

Cell lengths 5.4350, 6.4142, 9.9689 Å; angles 104.59, 93.44, 92.20 degrees
Atoms (fractional coordinates):
Ca1 0.7674 0.4641 0.5992
Ca2 0.7439 0.8710 0.4429
Ca3 0.2326 0.5359 0.4008
Ca4 0.2561 0.1290 0.5571
Ta1 0.7540 0.6468 0.0040
Ta2 0.2460 0.3532 0.9960
Nb1 0.7293 0.2414 0.2426
Nb2 0.7069 0.9966 0.7809
Nb3 0.2707 0.7586 0.7574
Nb4 0.2931 0.0034 0.2191
O1 0.1051 0.2461 0.1488
O2 0.3757 0.0912 0.8909
O3 0.8949 0.7539 0.8512
O4 0.6243 0.9088 0.1091
O5 0.5889 0.4466 0.1105
O6 0.9152 0.3188 0.9035
O7 0.4111 0.5534 0.8895
O8 0.0848 0.6812 0.0965
O9 0.4681 0.2524 0.3788
O10 0.0348 0.9005 0.6505
O11 0.3498 0.8452 0.3593
O12 0.1745 0.4711 0.6219
O13 0.6502 0.1548 0.6407
O14 0.8255 0.5289 0.3781
O15 0.9652 0.0995 0.3495
O16 0.5319 0.7476 0.6212

---

# 6
A plane-wave DFT calculation with GGA-PBE was carried out for a geometry-optimized CaTaNb2O8 structure.

* symmetry: Cmmm, No. 65
* volume: 12.85 A^3/atom
* VASP energy: -0.650 Ry per atom
* ρ: 5.8 g/cm3
* formation energy from raw total energies: -2.709 eV/atom
* magnetization: 1.030 Bohr magnetons per cell

Cell lengths 4.8905, 4.8901, 6.4504 Å; angles 90.00, 90.00, 88.14 degrees
Atoms (fractional coordinates):
Ca1 0.0000 0.0000 0.5000
Ta1 0.0000 0.0000 0.0000
Nb1 0.5000 0.5000 0.7531
Nb2 0.5000 0.5000 0.2469
O1 0.2071 0.7928 0.2167
O2 0.7096 0.7098 0.0000
O3 0.7929 0.2072 0.2167
O4 0.7929 0.2072 0.7833
O5 0.2904 0.2902 0.0000
O6 0.2071 0.7928 0.7833
O7 0.6737 0.6737 0.5000
O8 0.3263 0.3263 0.5000

---

# 7
A plane-wave DFT calculation with GGA-PBE was carried out for a geometry-optimized CaNbTeO6 structure.

* symmetry: P-31c, No. 163
* volume: 14.24 A^3/atom
* VASP energy: -0.518 Ry per atom
* ρ: 4.6 g/cm3
* formation energy from raw total energies: -2.059 eV/atom
* magnetization: 0.000 Bohr magnetons per cell

Cell lengths 5.4230, 5.4230, 10.0613 Å; angles 90.00, 90.00, 120.00 degrees
Atoms (fractional coordinates):
Ca1 0.0000 0.0000 0.0000
Ca2 0.0000 0.0000 0.5000
Nb1 0.6667 0.3333 0.2500
Nb2 0.3333 0.6667 0.7500
Te1 0.3333 0.6667 0.2500
Te2 0.6667 0.3333 0.7500
O1 0.6297 0.6284 0.1399
O2 0.9986 0.3703 0.1399
O3 0.3703 0.9986 0.6399
O4 0.0014 0.6297 0.8601
O5 0.3716 0.3703 0.3601
O6 0.9986 0.6284 0.3601
O7 0.6284 0.9986 0.8601
O8 0.6297 0.0014 0.3601
O9 0.0014 0.3716 0.6399
O10 0.3716 0.0014 0.1399
O11 0.6284 0.6297 0.6399
O12 0.3703 0.3716 0.8601

---

# 8
A plane-wave DFT calculation with GGA-PBE was carried out for a geometry-optimized Ca2TiNbO6 structure.

* symmetry: P4mm, No. 99
* volume: 12.76 A^3/atom
* VASP energy: -0.591 Ry per atom
* ρ: 4.1 g/cm3
* formation energy from raw total energies: -2.873 eV/atom
* magnetization: 0.000 Bohr magnetons per cell

Cell lengths 4.0216, 5.6322, 5.6322 Å; angles 90.00, 90.00, 90.00 degrees
Atoms (fractional coordinates):
Ca1 0.0570 0.5000 0.0000
Ca2 0.0570 0.0000 0.5000
Ti1 0.6355 0.0000 0.0000
Nb1 0.6478 0.5000 0.5000
O1 0.6809 0.2471 0.2471
O2 0.6809 0.2471 0.7529
O3 0.1587 0.5000 0.5000
O4 0.1673 0.0000 0.0000
O5 0.6809 0.7529 0.7529
O6 0.6809 0.7529 0.2471